# Na4MnO4 | the Alexandria database | PBE with a Hubbard U | relaxed
# * distance to the lowest polymorph of the same formula: 0.0 meV per atom
# * calculated total energy: -5.060 eV/atom
# * magnetic moment: 3.0 μB/f.u.
data_Na4MnO4
_chemical_formula_sum 'Na8 Mn2 O8'
_space_group_name_H-M_alt 'P 1'
_space_group_IT_number 1
_cell_length_a 8.636
_cell_length_b 5.901
_cell_length_c 5.656
_cell_angle_alpha 68.11
_cell_angle_beta 108.99
_cell_angle_gamma 101.48
loop_
_space_group_symop_operation_xyz
'x,y,z'
loop_
_atom_site_label
_atom_site_fract_x
_atom_site_fract_y
_atom_site_fract_z
Na1 0.314 0.551 0.675
Na2 0.726 0.528 0.923
Na3 0.181 0.004 0.642
Na4 0.360 0.044 0.205
Na5 0.920 0.514 0.577
Na6 0.575 0.041 0.741
Na7 0.135 0.511 0.113
Na8 0.769 0.026 0.395
O1 0.367 0.303 0.454
O2 0.835 0.167 0.995
O3 0.393 0.770 0.995
O4 0.660 0.388 0.323
O5 0.549 0.757 0.512
O6 0.102 0.786 0.323
O7 0.945 0.798 0.806
O8 0.128 0.252 0.864
Mn1 0.502 0.559 0.309
Mn2 0.993 0.996 0.009